(1)
4
Lattice="4.1542 0.0000 0.0000 0.0000 1.3256 4.9763 0.0000 -1.3256 4.9763" Properties=species:S:1:pos:R:3 comment="Ni2AgMo | the Alexandria database | PBE | relaxed" relative_energy_kj_per_mol_fu=56 crystal_system=orthorhombic delta_e_f_ev_per_atom=0.242 total_energy_ev_per_atom=-6.0692 pbc="T T T"
Ni 0.0000 0.0000 0.0000
Ni 2.0771 0.0000 1.3382
Ag 0.0000 0.0000 7.3574
Mo 2.0771 0.0000 4.0313

***

(2)
5
Lattice="5.9594 0.0000 0.0000 0.0000 5.9594 0.0000 0.0000 0.0000 4.6282" Properties=species:S:1:pos:R:3 comment="La2HfFeI | the Alexandria database | PBE | relaxed" crystal_system=tetragonal total_energy_ev_per_atom=-5.2074 raw_formation_energy_kj_per_mol_atoms=73.0 pbc="T T T"
La 0.0000 2.9797 0.0000
La 2.9797 0.0000 0.0000
Hf 0.0000 0.0000 2.3141
Fe 2.9797 2.9797 2.3141
I 2.9797 2.9797 0.0000